VASP calculation (PBE) on crystalline Zr3Pa5S12 at its relaxed geometry.

Unit cell a=13.5868 b=13.5868 c=13.5868 alpha=109.47 beta=109.47 gamma=109.47
Closest atoms and distances in Å follow each position.
Sites, in units of the cell vectors:
S1 0.9401 0.3658 0.2686  2 Pa 2.57-2.71, 1 Zr 2.74
Pa1 0.1250 0.7500 0.3750  4 S 2.57
S2 0.4028 0.2686 0.3285  2 Pa 2.57-2.71, 1 Zr 2.74
S3 0.1715 0.0972 0.7314  2 Pa 2.57-2.71, 1 Zr 2.74
S4 0.6715 0.2314 0.5972  2 Pa 2.57-2.71, 1 Zr 2.74
Pa2 0.2500 0.8750 0.1250  4 S 2.57
S5 0.8658 0.5972 0.9258  2 Pa 2.57-2.71, 1 Zr 2.74
Pa3 0.7500 0.1250 0.8750  4 S 2.57
S6 0.6342 0.0599 0.2314  2 Pa 2.57-2.71, 1 Zr 2.74
Pa4 0.7500 0.6250 0.3750  4 S 2.57
Zr1 0.7500 0.3750 0.1250  8 S 2.74-2.99
S7 0.7686 0.4401 0.3658  2 Pa 2.57-2.71, 1 Zr 2.74
Zr2 0.3750 0.7500 0.6250  8 S 2.74-2.99
S8 0.2686 0.4028 0.8285  2 Pa 2.57-2.71, 1 Zr 2.74
S9 0.0599 0.4258 0.8285  2 Pa 2.57-2.71, 1 Zr 2.74
Zr3 0.6250 0.2500 0.3750  8 S 2.74-2.99
Zr4 0.1250 0.2500 0.8750  8 S 2.74-2.99
S10 0.1342 0.4028 0.0742  2 Pa 2.57-2.71, 1 Zr 2.74
S11 0.3658 0.4258 0.0972  2 Pa 2.57-2.71, 1 Zr 2.74
S12 0.4258 0.3658 0.5972  2 Pa 2.57-2.71, 1 Zr 2.74
Pa5 0.5000 0.5000 0.0000  6 S 2.71
Pa6 0.3750 0.1250 0.7500  4 S 2.57
S13 0.3285 0.5599 0.4258  2 Pa 2.57-2.71, 1 Zr 2.74
S14 0.5599 0.3285 0.9258  2 Pa 2.57-2.71, 1 Zr 2.74
S15 0.6715 0.4401 0.5742  2 Pa 2.57-2.71, 1 Zr 2.74
Pa7 0.0000 0.5000 0.0000  6 S 2.71
S16 0.6342 0.5742 0.9028  2 Pa 2.57-2.71, 1 Zr 2.74
S17 0.9028 0.8285 0.7686  2 Pa 2.57-2.71, 1 Zr 2.74
S18 0.2314 0.5599 0.6342  2 Pa 2.57-2.71, 1 Zr 2.74
S19 0.3285 0.7686 0.4028  2 Pa 2.57-2.71, 1 Zr 2.74
Zr5 0.8750 0.7500 0.1250  8 S 2.74-2.99
S20 0.5742 0.9401 0.6715  2 Pa 2.57-2.71, 1 Zr 2.74
S21 0.5742 0.6342 0.4028  2 Pa 2.57-2.71, 1 Zr 2.74
Zr6 0.1250 0.8750 0.7500  8 S 2.74-2.99
Pa8 0.8750 0.2500 0.6250  4 S 2.57
S22 0.0742 0.1715 0.4401  2 Pa 2.57-2.71, 1 Zr 2.74
Pa9 0.5000 0.5000 0.5000  6 S 2.71
S23 0.3658 0.9401 0.7686  2 Pa 2.57-2.71, 1 Zr 2.74
S24 0.4401 0.6715 0.0742  2 Pa 2.57-2.71, 1 Zr 2.74
S25 0.0972 0.1715 0.2314  2 Pa 2.57-2.71, 1 Zr 2.74
S26 0.5599 0.2314 0.1342  2 Pa 2.57-2.71, 1 Zr 2.74
S27 0.0742 0.9028 0.1342  2 Pa 2.57-2.71, 1 Zr 2.74
Pa10 0.6250 0.7500 0.8750  4 S 2.57
Pa11 0.8750 0.6250 0.7500  4 S 2.57
S28 0.9258 0.0972 0.8658  2 Pa 2.57-2.71, 1 Zr 2.74
S29 0.7686 0.3285 0.9028  2 Pa 2.57-2.71, 1 Zr 2.74
S30 0.8285 0.9258 0.0599  2 Pa 2.57-2.71, 1 Zr 2.74
Pa12 0.0000 0.5000 0.5000  6 S 2.71
Zr7 0.8750 0.1250 0.2500  8 S 2.74-2.99
S31 0.5972 0.8658 0.4258  2 Pa 2.57-2.71, 1 Zr 2.74
S32 0.2314 0.6715 0.0972  2 Pa 2.57-2.71, 1 Zr 2.74
S33 0.9401 0.5742 0.1715  2 Pa 2.57-2.71, 1 Zr 2.74
S34 0.2686 0.8658 0.9401  2 Pa 2.57-2.71, 1 Zr 2.74
S35 0.0972 0.9258 0.3658  2 Pa 2.57-2.71, 1 Zr 2.74
Pa13 0.0000 0.0000 0.5000  6 S 2.71
Pa14 0.0000 0.0000 0.0000  6 S 2.71
S36 0.1715 0.0742 0.9401  2 Pa 2.57-2.71, 1 Zr 2.74
Zr8 0.2500 0.6250 0.8750  8 S 2.74-2.99
S37 0.7314 0.1342 0.0599  2 Pa 2.57-2.71, 1 Zr 2.74
Pa15 0.5000 0.0000 0.0000  6 S 2.71
S38 0.8285 0.9028 0.2686  2 Pa 2.57-2.71, 1 Zr 2.74
S39 0.1342 0.7314 0.5599  2 Pa 2.57-2.71, 1 Zr 2.74
S40 0.4258 0.0599 0.3285  2 Pa 2.57-2.71, 1 Zr 2.74
Pa16 0.5000 0.0000 0.5000  6 S 2.71
S41 0.9258 0.8285 0.5599  2 Pa 2.57-2.71, 1 Zr 2.74
Pa17 0.2500 0.3750 0.6250  4 S 2.57
S42 0.8658 0.2686 0.4401  2 Pa 2.57-2.71, 1 Zr 2.74
S43 0.5972 0.7314 0.6715  2 Pa 2.57-2.71, 1 Zr 2.74
Pa18 0.1250 0.3750 0.2500  4 S 2.57
Pa19 0.3750 0.2500 0.1250  4 S 2.57
Zr9 0.6250 0.3750 0.7500  8 S 2.74-2.99
Zr10 0.2500 0.1250 0.3750  8 S 2.74-2.99
S44 0.4028 0.1342 0.5742  2 Pa 2.57-2.71, 1 Zr 2.74
Zr11 0.3750 0.6250 0.2500  8 S 2.74-2.99
S45 0.0599 0.6342 0.7314  2 Pa 2.57-2.71, 1 Zr 2.74
S46 0.4401 0.7686 0.8658  2 Pa 2.57-2.71, 1 Zr 2.74
Pa20 0.6250 0.8750 0.2500  4 S 2.57
Zr12 0.7500 0.8750 0.6250  8 S 2.74-2.99
S47 0.7314 0.5972 0.1715  2 Pa 2.57-2.71, 1 Zr 2.74
S48 0.9028 0.0742 0.6342  2 Pa 2.57-2.71, 1 Zr 2.74

Crystal system   cubic

VASP calculation (PBE) on crystalline ZrPaS at its relaxed geometry.

Unit cell a=3.6308 b=3.6308 c=9.3831 alpha=90.00 beta=90.00 gamma=90.00
Closest atoms and distances in Å follow each position.
Sites, in units of the cell vectors:
S1 0.1266 0.1266 0.7688  5 Zr 2.68-2.91, 1 Pa 2.91
S2 0.6266 0.6266 0.5385  5 Zr 2.68-2.91, 1 Pa 2.91
Zr1 0.1266 0.1266 0.4582  5 S 2.68-2.91
Pa1 0.6265 0.6265 0.2288  1 S 2.91, 4 Pa 2.93
Zr2 0.6266 0.6266 0.8491  5 S 2.68-2.91
Pa2 0.1266 0.1266 0.0785  1 S 2.91, 4 Pa 2.93

ΔE to the lowest computed polymorph   0.0 kJ/mol of formula units
Crystal system   tetragonal

VASP calculation (PBE) on crystalline PaSb at its relaxed geometry.

Unit cell a=3.7268 b=3.7268 c=3.7268 alpha=90.00 beta=90.00 gamma=90.00
Closest atoms and distances in Å follow each position.
Sites, in units of the cell vectors:
Sb1 0.5000 0.5000 0.5000  8 Pa 3.23
Pa1 0.0000 0.0000 0.0000  8 Sb 3.23

ΔE to the lowest computed polymorph   0.0 kJ/mol of formula units
Crystal system   cubic

VASP calculation (PBE) on crystalline Pa2Sb3 at its relaxed geometry.

Unit cell a=4.3180 b=4.3180 c=10.5270 alpha=78.17 beta=78.17 gamma=60.00
Closest atoms and distances in Å follow each position.
Sites, in units of the cell vectors:
Sb1 0.7841 0.7841 0.6476  3 Pa 3.02
Sb2 0.2159 0.2159 0.3524  3 Pa 3.02
Pa1 0.3954 0.3954 0.8137  6 Sb 3.02-3.14
Pa2 0.6046 0.6046 0.1863  6 Sb 3.02-3.14
Sb3 0.0000 0.0000 0.0000  6 Pa 3.14

Crystal system   trigonal

VASP calculation (PBE) on crystalline PaSb2 at its relaxed geometry.

Unit cell a=3.9751 b=3.9751 c=5.7099 alpha=110.38 beta=110.38 gamma=90.00
Closest atoms and distances in Å follow each position.
Sites, in units of the cell vectors:
Sb1 0.8408 0.8408 0.6820  5 Sb 3.16-3.34, 5 Pa 3.22-3.39
Pa1 0.5000 0.5000 0.0000  10 Sb 3.22-3.39
Sb2 0.1592 0.1592 0.3180  5 Sb 3.16-3.34, 5 Pa 3.22-3.39

ΔE to the lowest computed polymorph   33.6 kJ/mol of formula units
Crystal system   tetragonal

VASP calculation (PBE) on crystalline PaSb2 at its relaxed geometry.

Unit cell a=4.6135 b=4.1597 c=8.4837 alpha=104.19 beta=90.00 gamma=90.00
Closest atoms and distances in Å follow each position.
Sites, in units of the cell vectors:
Pa1 0.2500 0.8995 0.7990  10 Sb 3.15-3.46
Sb1 0.7500 0.7513 0.5026  4 Sb 3.11, 4 Pa 3.24-3.36
Sb2 0.2500 0.2487 0.4974  4 Sb 3.11, 4 Pa 3.24-3.36
Pa2 0.7500 0.1005 0.2010  10 Sb 3.15-3.46
Sb3 0.2500 0.5676 0.1351  6 Pa 3.15-3.46, 2 Sb 3.20
Sb4 0.7500 0.4324 0.8649  6 Pa 3.15-3.46, 2 Sb 3.20

ΔE to the lowest computed polymorph   18.1 kJ/mol of formula units
Crystal system   orthorhombic

VASP calculation (PBE) on crystalline Pa4Sb5 at its relaxed geometry.

Unit cell a=4.5483 b=7.7356 c=7.7356 alpha=85.04 beta=72.90 gamma=72.90
Closest atoms and distances in Å follow each position.
Sites, in units of the cell vectors:
Sb1 0.6984 0.3016 0.3016  1 Sb 3.15, 6 Pa 3.20-3.47
Sb2 0.3016 0.6984 0.6984  1 Sb 3.15, 6 Pa 3.20-3.47
Sb3 0.0000 0.0000 0.0000  4 Sb 3.15, 8 Pa 3.38
Pa1 0.3305 0.3391 0.0000  8 Sb 3.20-3.47, 4 Pa 3.29-3.55
Pa2 0.6695 0.0000 0.6609  8 Sb 3.20-3.47, 4 Pa 3.29-3.55
Pa3 0.6695 0.6609 0.0000  8 Sb 3.20-3.47, 4 Pa 3.29-3.55
Sb4 0.0000 0.3016 0.6984  1 Sb 3.15, 6 Pa 3.20-3.47
Sb5 0.0000 0.6984 0.3016  1 Sb 3.15, 6 Pa 3.20-3.47
Pa4 0.3305 0.0000 0.3391  8 Sb 3.20-3.47, 4 Pa 3.29-3.55

Crystal system   tetragonal

VASP calculation (PBE) on crystalline PaSb at its relaxed geometry.

Unit cell a=4.3610 b=4.3610 c=4.3610 alpha=60.00 beta=60.00 gamma=60.00
Closest atoms and distances in Å follow each position.
Sites, in units of the cell vectors:
Pa1 0.0000 0.0000 0.0000  6 Sb 3.08
Sb1 0.5000 0.5000 0.5000  6 Pa 3.08

ΔE to the lowest computed polymorph   1.6 kJ/mol of formula units
Crystal system   cubic

| no. | formation energy without anion corrections (kJ per mole of atoms) |
| --- | --- |
| 1 | -103.7 |
| 2 | -89.6 |
| 3 | -42.7 |
| 4 | -14.7 |
| 5 | -39.6 |
| 6 | -44.7 |
| 7 | -19.5 |
| 8 | -41.9 |